(1)
{
  "formula": "BaMnBO4",
  "functional": "PBE+U",
  "state": "optimized geometry",
  "lattice": [[4.9255, 0.0000, -0.1361], [0.0000, 5.4057, 0.0000], [-2.1163, 0.0000, 6.6440]],
  "species": ["Ba", "Ba", "Mn", "Mn", "B", "B", "O", "O", "O", "O", "O", "O", "O", "O"],
  "frac_coords": [[0.7054, 0.7500, 0.9184], [0.2946, 0.2500, 0.0816], [0.7695, 0.7500, 0.4527], [0.2305, 0.2500, 0.5473], [0.2247, 0.7500, 0.3360], [0.7753, 0.2500, 0.6640], [0.9679, 0.4698, 0.6937], [0.0321, 0.9698, 0.3063], [0.0321, 0.5302, 0.3063], [0.9679, 0.0302, 0.6937], [0.4066, 0.7500, 0.1959], [0.5934, 0.2500, 0.8041], [0.4414, 0.7500, 0.5395], [0.5586, 0.2500, 0.4605]],
  "space_group": "P2_1/m",
  "crystal_system": "monoclinic",
  "dft_energy_ev_per_cell": -102.4
}

***

(2)
{
  "formula": "BaMn2B2O6",
  "functional": "PBE+U",
  "state": "optimized geometry",
  "lattice": [[5.4983, -0.3339, -0.0154], [2.4463, 5.9737, 0.6335], [0.1461, -2.8160, 4.4713]],
  "species": ["Ba", "Mn", "Mn", "B", "B", "O", "O", "O", "O", "O", "O"],
  "frac_coords": [[0.5000, 0.0000, 0.5000], [0.7834, 0.4694, 0.8115], [0.2166, 0.5306, 0.1885], [0.2477, 0.6854, 0.7779], [0.7523, 0.3146, 0.2221], [0.4101, 0.7461, 0.9654], [0.8527, 0.4871, 0.2144], [0.1972, 0.7781, 0.5859], [0.1473, 0.5129, 0.7856], [0.8028, 0.2219, 0.4141], [0.5899, 0.2539, 0.0346]],
  "space_group": "P-1",
  "crystal_system": "triclinic",
  "dft_energy_ev_per_cell": -84.8
}